This record from OQMD describes a geometry-optimized MgNbTeAs structure. The functional is GGA-PBE.

a b c (Å): 4.863 4.863 4.863
angles (deg): 60.00 60.00 60.00
Fractional coordinates of all 4 atoms:
As 0.500 0.500 0.500
Mg 0.750 0.750 0.750
Nb 0.250 0.250 0.250
Te 0.000 0.000 0.000

## Properties
The calculation puts the size of the total moment at 1.6 μB per formula unit. The value obtained for the offset from the most stable computed form is 0 meV per atom.

This record from OQMD describes a geometry-optimized LiTbCuNiAs2 structure. The functional is GGA-PBE.

a b c (Å): 4.093 4.093 6.609
angles (deg): 90.00 90.00 120.00
Fractional coordinates of all 6 atoms:
As 0.000 0.000 0.269
As 0.667 0.333 0.728
Cu 0.000 0.000 0.667
Li 0.333 0.667 0.497
Ni 0.667 0.333 0.334
Tb 0.333 0.667 0.005

## Properties
The final energy is -4.95 eV per atom. The calculation puts the size of the total moment at 0.0 μB per formula unit.

- The lowest size of the total moment belongs to which entry?
  LiTbCuNiAs2

- Among the records above, which one has the lowest size of the total moment?
  LiTbCuNiAs2